Compound: HfHg
Source: the Open Quantum Materials Database
Functional: PBE-GGA
Structure: relaxed

a b c (Å): 4.053 4.053 4.053
angles (deg): 60.00 60.00 60.00
Sites, in units of the cell vectors:
Hf1 0.000 0.000 0.000
Hg1 0.500 0.500 0.500

## Properties
DFT formation energy (meV per atom): 390
Symmetry: Fm-3m


Compound: Ho2CuSi
Source: the Open Quantum Materials Database
Functional: PBE-GGA
Structure: relaxed

a b c (Å): 4.121 7.340 5.678
angles (deg): 90.00 90.00 90.00
Sites, in units of the cell vectors:
Ho1 0.000 0.064 0.000
Ho2 0.000 0.588 0.232
Ho3 0.500 0.412 0.732
Ho4 0.500 0.936 0.500
Cu1 0.000 0.218 0.469
Cu2 0.500 0.782 0.969
Si1 0.000 0.702 0.727
Si2 0.500 0.298 0.227

## Properties
Total energy (eV/atom): -5.100
Symmetry: Pmn2_1


Compound: Li4Zn2InPd
Source: the Open Quantum Materials Database
Functional: PBE-GGA
Structure: relaxed

a b c (Å): 4.396 4.396 6.297
angles (deg): 90.00 90.00 90.00
Sites, in units of the cell vectors:
Li1 0.000 0.000 0.000
Li2 0.000 0.500 0.227
Li3 0.500 0.000 0.773
Li4 0.500 0.500 0.500
Zn1 0.000 0.500 0.772
Zn2 0.500 0.000 0.228
In1 0.000 0.000 0.500
Pd1 0.500 0.500 0.000

## Properties
Total energy (eV/atom): -2.592
Symmetry: P-4m2


Compound: TbDySi2Pd
Source: the Open Quantum Materials Database
Functional: PBE-GGA
Structure: relaxed

a b c (Å): 5.663 5.663 10.161
angles (deg): 115.82 115.82 44.24
Sites, in units of the cell vectors:
Tb1 0.187 0.187 0.107
Tb2 0.813 0.813 0.893
Dy1 0.003 0.003 0.324
Dy2 0.997 0.997 0.676
Si1 0.367 0.367 0.436
Si2 0.483 0.483 0.114
Si3 0.517 0.517 0.886
Si4 0.633 0.633 0.564
Pd1 0.274 0.274 0.640
Pd2 0.726 0.726 0.360

## Properties
Total energy (eV/atom): -5.975
Symmetry: C2/m


Compound: AlHg2Pd
Source: the Open Quantum Materials Database
Functional: PBE-GGA
Structure: relaxed

a b c (Å): 4.751 4.751 4.751
angles (deg): 60.00 60.00 60.00
Sites, in units of the cell vectors:
Al1 0.000 0.000 0.000
Hg1 0.500 0.500 0.500
Hg2 0.750 0.750 0.750
Pd1 0.250 0.250 0.250

## Properties
Total energy (eV/atom): -2.366
Symmetry: F-43m


Compound: BaAs2Pd5
Source: the Open Quantum Materials Database
Functional: PBE-GGA
Structure: relaxed

a b c (Å): 6.547 6.547 6.547
angles (deg): 142.39 112.81 79.64
Sites, in units of the cell vectors:
Ba1 0.000 0.000 0.000
As1 0.260 0.760 0.500
As2 0.740 0.240 0.500
Pd1 0.153 0.343 0.810
Pd2 0.467 0.657 0.810
Pd3 0.500 0.000 0.500
Pd4 0.533 0.343 0.190
Pd5 0.847 0.657 0.190

## Properties
Total energy (eV/atom): -5.216
Symmetry: Immm


Compound: FeGePd
Source: the Open Quantum Materials Database
Functional: PBE-GGA
Structure: relaxed

a b c (Å): 4.044 4.044 4.044
angles (deg): 60.00 60.00 60.00
Sites, in units of the cell vectors:
Fe1 0.000 0.000 0.000
Ge1 0.250 0.250 0.250
Pd1 0.500 0.500 0.500

## Properties
Total energy (eV/atom): -6.052
Symmetry: F-43m


Compound: CsSmTeO
Source: the Open Quantum Materials Database
Functional: PBE-GGA
Structure: relaxed

a b c (Å): 6.904 7.638 9.772
angles (deg): 89.94 80.74 89.99
Sites, in units of the cell vectors:
Cs1 0.000 0.000 0.000
Cs2 0.175 0.500 0.742
Cs3 0.500 0.692 0.000
Cs4 0.676 0.192 0.741
Sm1 0.046 0.233 0.363
Sm2 0.130 0.733 0.379
Sm3 0.548 0.458 0.362
Sm4 0.628 0.958 0.380
Te1 0.220 0.018 0.609
Te2 0.455 0.174 0.133
Te3 0.721 0.674 0.609
Te4 0.956 0.518 0.133
O1 0.224 0.456 0.438
O2 0.453 0.736 0.302
O3 0.724 0.236 0.440
O4 0.952 0.955 0.303

## Properties
Total energy (eV/atom): -5.504
Symmetry: P1


Compound: LiRe2
Source: the Open Quantum Materials Database
Functional: PBE-GGA
Structure: relaxed

a b c (Å): 7.333 7.333 7.333
angles (deg): 60.00 60.00 60.00
Sites, in units of the cell vectors:
Li1 0.125 0.125 0.125
Li2 0.875 0.875 0.875
Re1 0.000 0.000 0.000
Re2 0.000 0.000 0.500
Re3 0.000 0.500 0.000
Re4 0.500 0.000 0.000

## Properties
Total energy (eV/atom): -4.230
Symmetry: Fd-3m


Compound: GdYPt
Source: the Open Quantum Materials Database
Functional: PBE-GGA
Structure: relaxed

a b c (Å): 7.180 4.800 8.837
angles (deg): 90.00 90.00 90.00
Sites, in units of the cell vectors:
Gd1 0.144 0.250 0.081
Gd2 0.356 0.750 0.581
Gd3 0.644 0.250 0.419
Gd4 0.856 0.750 0.919
Y1 0.010 0.250 0.667
Y2 0.490 0.750 0.167
Y3 0.510 0.250 0.833
Y4 0.990 0.750 0.333
Pt1 0.241 0.250 0.406
Pt2 0.259 0.750 0.906
Pt3 0.741 0.250 0.094
Pt4 0.759 0.750 0.594

## Properties
DFT formation energy (meV per atom): -920
Symmetry: Pnma


Compound: LuNbZn
Source: the Open Quantum Materials Database
Functional: PBE-GGA
Structure: relaxed

a b c (Å): 4.692 4.692 4.692
angles (deg): 60.00 60.00 60.00
Sites, in units of the cell vectors:
Lu1 0.000 0.000 0.000
Nb1 0.750 0.750 0.750
Zn1 0.250 0.250 0.250

## Properties
DFT formation energy (meV per atom): 1066
Symmetry: F-43m


Compound: RbBaZrAu
Source: the Open Quantum Materials Database
Functional: PBE-GGA
Structure: relaxed

a b c (Å): 5.857 5.857 5.857
angles (deg): 60.00 60.00 60.00
Sites, in units of the cell vectors:
Rb1 0.000 0.000 0.000
Ba1 0.500 0.500 0.500
Zr1 0.250 0.250 0.250
Au1 0.750 0.750 0.750

## Properties
Total energy (eV/atom): -2.975
Symmetry: F-43m